# DyYZn, optimized geometry, DFT PBE
# - Formation enthalpy at 0 K: 17 meV/atom
# - Magnetization: 0.0 μB/cell
# - Excess energy over the best structure of this formula in the dataset: 0.236 eV per atom
# - V: 28.68 A^3/atom
# - DFT total energy: -4.10 eV per atom
data_DyYZn
_symmetry_space_group_name_H-M 'I -4 m 2'
_symmetry_Int_Tables_number 119
_symmetry_space_group_name_Hall 'I -4 -2'
_cell_length_a 4.959
_cell_length_b 4.959
_cell_length_c 6.998
_cell_angle_alpha 90.00
_cell_angle_beta 90.00
_cell_angle_gamma 90.00
loop_
_atom_site_label
_atom_site_type_symbol
_atom_site_fract_x
_atom_site_fract_y
_atom_site_fract_z
_atom_site_occupancy
Dy1 Dy 0.000 0.000 0.000 1
Y1 Y 0.000 0.000 0.500 1
Zn1 Zn 0.000 0.500 0.250 1